Model P:
Here is crystalline V2Pd3Rh at its relaxed geometry from Alexandria. Energies are from PBE.

Summary:
Space-group type ... No. 69
Total magnetization ... 0.0000 μB/atom

abc: 12.2383 12.2367 3.8874
angles: 80.88 80.84 18.28
With the nearest neighbours (Å) after each atom.
Fractional positions:
V (0.2500, 0.2500, 0.2500)  4 Rh 2.57, 4 Pd 2.65, 4 V 2.75
V (0.2504, 0.7496, 0.2504)  8 Pd 2.65-2.66, 4 V 2.75-2.76
V (0.7496, 0.2504, 0.7496)  8 Pd 2.65-2.66, 4 V 2.75-2.76
V (0.7500, 0.7500, 0.7500)  4 Rh 2.57, 4 Pd 2.65, 4 V 2.75
Pd (0.1746, 0.1746, 0.8254)  4 V 2.65, 2 Pd 2.73, 4 Rh 2.75
Pd (0.1764, 0.6717, 0.8236)  4 V 2.65-2.66, 5 Pd 2.72-2.77, 1 Rh 2.82
Pd (0.3283, 0.8236, 0.6717)  4 V 2.65-2.66, 5 Pd 2.72-2.77, 1 Rh 2.82
Pd (0.6717, 0.1764, 0.3283)  4 V 2.65-2.66, 5 Pd 2.72-2.77, 1 Rh 2.82
Pd (0.8236, 0.3283, 0.1764)  4 V 2.65-2.66, 5 Pd 2.72-2.77, 1 Rh 2.82
Pd (0.8254, 0.8254, 0.1746)  4 V 2.65, 2 Pd 2.73, 4 Rh 2.75
Rh (0.3206, 0.3206, 0.6794)  4 V 2.57, 6 Pd 2.75-2.82
Rh (0.6794, 0.6794, 0.3206)  4 V 2.57, 6 Pd 2.75-2.82


Model Q:
Here is crystalline V2Pd3Rh at its relaxed geometry from Alexandria. Energies are from PBE.

Summary:
Space-group type ... No. 65
Total magnetization ... 0.4413 μB/atom

abc: 3.8576 11.5654 3.9071
angles: 90.00 90.00 90.00
With the nearest neighbours (Å) after each atom.
Fractional positions:
V (0.0000, 0.1612, 0.0000)  2 Rh 2.68, 8 Pd 2.70-2.77, 2 V 2.82
V (0.0000, 0.8388, 0.0000)  2 Rh 2.68, 8 Pd 2.70-2.77, 2 V 2.82
V (0.5000, 0.3388, 0.0000)  2 Rh 2.68, 8 Pd 2.70-2.77, 2 V 2.82
V (0.5000, 0.6612, 0.0000)  2 Rh 2.68, 8 Pd 2.70-2.77, 2 V 2.82
Pd (0.0000, 0.0000, 0.5000)  4 V 2.70, 4 Rh 2.75, 4 Pd 2.75
Pd (0.0000, 0.3308, 0.5000)  4 Pd 2.69-2.75, 6 V 2.75-2.77, 2 Rh 2.77
Pd (0.0000, 0.6692, 0.5000)  4 Pd 2.69-2.75, 6 V 2.75-2.77, 2 Rh 2.77
Pd (0.5000, 0.1692, 0.5000)  4 Pd 2.69-2.75, 6 V 2.75-2.77, 2 Rh 2.77
Pd (0.5000, 0.5000, 0.5000)  4 V 2.70, 4 Rh 2.75, 4 Pd 2.75
Pd (0.5000, 0.8308, 0.5000)  4 Pd 2.69-2.75, 6 V 2.75-2.77, 2 Rh 2.77
Rh (0.0000, 0.5000, 0.0000)  4 V 2.68, 8 Pd 2.75-2.77
Rh (0.5000, 0.0000, 0.0000)  4 V 2.68, 8 Pd 2.75-2.77


Stability summary - winner: model Q; margin: 0.040 eV/atom.